No. 1
Computed, not measured: a geometry-optimized La2VRe structure at the PBE level of DFT.

Its size of the total moment is 2.007 μB per formula unit. The value obtained for the theoretical density is 6459 kg/m³. Its total energy is -7.153 eV/atom. Its offset from the most stable computed form is 0.148 eV/atom.

The structure belongs to space group I-42d (No. 122); the cell edges are 10.552, 10.552 and 4.756 Å and the angles 90.00°, 90.00° and 90.00°. Symmetry generates all atoms from La at (0.092, 0.250, 0.125), V at (0.000, 0.000, 0.500) and Re at (0.000, 0.000, 0.000).

---

No. 2
Computed, not measured: a geometry-optimized LaV2Re structure at the PBE level of DFT.

Its size of the total moment is 0.007 μB per formula unit. The value obtained for the theoretical density is 7593 kg/m³. Its total energy is -8.054 eV/atom. Its offset from the most stable computed form is 0.418 eV/atom.

The structure belongs to space group I4_1/amd (No. 141, origin choice 2); the cell edges are 4.663, 4.663 and 17.178 Å and the angles 90.00°, 90.00° and 90.00°. Symmetry generates all atoms from La at (0.000, 0.250, 0.375), V at (0.000, 0.000, 0.000) and Re at (0.000, 0.250, 0.875).

---

No. 3
Computed, not measured: a geometry-optimized LaVRe3 structure at the PBE level of DFT.

Its size of the total moment is 1.731 μB per formula unit. The value obtained for the theoretical density is 12351 kg/m³. Its total energy is -9.269 eV/atom. Its offset from the most stable computed form is 0.000 eV/atom.

The structure belongs to space group Pm-3m (No. 221); the cell edges are 4.651, 4.651 and 4.651 Å and the angles 90.00°, 90.00° and 90.00°. Symmetry generates all atoms from La at (0.000, 0.000, 0.000), V at (0.500, 0.500, 0.500) and Re at (0.000, 0.500, 0.500).

---

Which value of offset from the most stable computed form does entry 3 give? 0.000 eV/atom